Record 1
An optimized crystal structure of SrCe2TmSe4, computed with PBE.

a b c (Å): 7.2925 4.1741 7.3520
angles (deg): 90.00 108.93 90.00
With the nearest neighbours (Å) after each atom.
Space group P2/m (No. 10)
Asymmetric unit:
Sr: 0.0000 0.0000 0.0000 x1  6 Se 3.00-3.01
Ce: 0.0000 0.5000 0.5000 x1  6 Se 3.06
Ce: 0.5000 0.0000 0.5000 x1  6 Se 2.96
Tm: 0.5000 0.5000 0.0000 x1  6 Se 2.90
Se: 0.2614 0.5000 0.2474 x2  1 Tm 2.90, 3 Ce 2.96-3.06, 2 Sr 3.01
Se: 0.2650 0.0000 0.7610 x2  2 Tm 2.90, 3 Ce 2.96-3.06, 1 Sr 3.00

Results
Uncorrected formation energy in meV/atom: -1782
E_tot in eV per atom: -5.7769

Record 2
An optimized crystal structure of K2NaBi, computed with PBE.

a b c (Å): 12.5689 5.6554 10.2894
angles (deg): 90.00 115.06 90.00
With the nearest neighbours (Å) after each atom.
Space group Cm (No. 8)
Asymmetric unit:
K: 0.0000 0.0000 0.0000 x2  6 K 3.87-4.26, 4 Bi 3.89, 2 Na 4.03-4.05
K: 0.0009 0.0000 0.4965 x2  2 Na 3.56-3.60, 2 Bi 3.59
K: 0.1278 0.5000 0.8508 x2  1 Na 3.66, 4 Bi 3.72-3.92, 2 K 3.88
K: 0.3705 0.0000 0.1465 x2  1 Na 3.65, 4 Bi 3.70-3.92, 2 K 3.87
Na: 0.2476 0.0000 0.4111 x2  3 Bi 3.25-3.36, 2 Na 3.35, 1 K 3.56
Na: 0.2555 0.5000 0.5901 x2  3 Bi 3.24-3.36, 2 Na 3.35, 1 K 3.60
Bi: 0.1986 0.5000 0.2403 x2  3 Na 3.25-3.36, 1 K 3.59
Bi: 0.3007 0.0000 0.7595 x2  3 Na 3.24-3.36, 1 K 3.59

Results
E_form in eV per atom: -0.361
E_tot in eV per atom: -2.2094

Record 3
An optimized crystal structure of TcSe2BrO, computed with PBE.

a b c (Å): 4.7614 4.7614 5.1052
angles (deg): 90.00 90.00 90.00
With the nearest neighbours (Å) after each atom.
Space group P4/mmm (No. 123)
Asymmetric unit:
Tc: 0.0000 0.0000 0.0000 x1  4 Se 2.38, 2 Br 2.55
Se: 0.0000 0.5000 0.0000 x2  2 Tc 2.38
Br: 0.0000 0.0000 0.5000 x1  2 Tc 2.55
O: 0.5000 0.5000 0.5000 x1  4 Br 3.37, 8 Se 3.49

Results
Uncorrected formation energy in meV/atom: 800
E_tot in eV per atom: -3.9936

Record 4
An optimized crystal structure of Mg7Pb3N2, computed with PBE.

a b c (Å): 4.4809 22.7685 4.4689
angles (deg): 90.00 90.00 90.00
With the nearest neighbours (Å) after each atom.
Space group Cmmm (No. 65)
Asymmetric unit:
Mg: 0.0000 0.0000 0.0000 x2  2 N 2.23
Mg: 0.0000 0.0911 0.5000 x4  2 N 2.24
Mg: 0.0000 0.1907 0.0000 x4  1 N 2.11
Mg: 0.0000 0.4065 0.0000 x4  2 N 2.24
Pb: 0.0000 0.3010 0.5000 x4  10 Mg 3.17-3.36, 2 Pb 3.23
Pb: 0.0000 0.5000 0.5000 x2  12 Mg 3.05-3.16
N: 0.0000 0.0980 0.0000 x4  6 Mg 2.11-2.24

Results
Uncorrected formation energy in meV/atom: -281
E_tot in eV per atom: -3.5260

| no. | theoretical density (g/cm3) |
| --- | --- |
| 1 | 6.69 |
| 2 | 3.11 |
| 3 | 5.05 |
| 4 | 5.97 |